The following is a DFT calculation (GGA-PBE) of a geometry-optimized HoZnCu11 structure.

Results
- Formation energy: -0.098 eV per atom

Geometry as POSCAR:
```
HoZnCu11
1.0
2.4276 -5.9719 0.0000
2.4276 5.9719 0.0000
-2.3939 0.0000 6.0486
Ho Zn Cu
1 1 11
Direct
0.0000 0.0000 0.0000 Ho
0.5000 0.5000 0.5000 Zn
0.0000 0.0000 0.5000 Cu
0.0000 0.5000 0.0000 Cu
0.0099 0.6522 0.6482 Cu
0.2791 0.5007 0.7802 Cu
0.3478 0.9901 0.3518 Cu
0.4993 0.7209 0.2198 Cu
0.5000 0.0000 0.0000 Cu
0.5007 0.2791 0.7802 Cu
0.6522 0.0099 0.6482 Cu
0.7209 0.4993 0.2198 Cu
0.9901 0.3478 0.3518 Cu
```

***

The following is a DFT calculation (GGA-PBE) of a geometry-optimized Ho2ZnCu9 structure.

Results
- Formation energy: -0.077 eV per atom

Geometry as POSCAR:
```
Ho2ZnCu9
1.0
2.5338 1.4629 8.1858
-2.5338 1.4629 8.1858
0.0000 -2.9258 8.1858
Ho Zn Cu
2 1 9
Direct
0.1349 0.1349 0.1349 Ho
0.8651 0.8651 0.8651 Ho
0.0000 0.0000 0.0000 Zn
0.0793 0.5830 0.5830 Cu
0.3330 0.3330 0.3330 Cu
0.4170 0.4170 0.9207 Cu
0.4170 0.9207 0.4170 Cu
0.5000 0.5000 0.5000 Cu
0.5830 0.0793 0.5830 Cu
0.5830 0.5830 0.0793 Cu
0.6670 0.6670 0.6670 Cu
0.9207 0.4170 0.4170 Cu
```

***

The following is a DFT calculation (GGA-PBE) of a geometry-optimized Ho2ZnCu6 structure.

Results
- Formation energy: -0.206 eV per atom

Geometry as POSCAR:
```
Ho2ZnCu6
1.0
5.4641 0.0000 0.0000
-2.7320 4.7320 0.0000
0.0000 0.0000 5.5794
Ho Zn Cu
2 1 6
Direct
0.3333 0.6667 0.3462 Ho
0.6667 0.3333 0.6538 Ho
0.0000 0.0000 0.5000 Zn
0.1794 0.3588 0.8381 Cu
0.1794 0.8206 0.8381 Cu
0.3588 0.1794 0.1619 Cu
0.6412 0.8206 0.8381 Cu
0.8206 0.1794 0.1619 Cu
0.8206 0.6412 0.1619 Cu
```

***

The following is a DFT calculation (GGA-PBE) of a geometry-optimized Ho6ZnCu2 structure.

Results
- Formation energy: -0.179 eV per atom

Geometry as POSCAR:
```
Ho6ZnCu2
1.0
-4.7116 4.7916 4.9795
4.7116 -4.7916 4.9795
4.7116 4.7916 -4.9795
Ho Zn Cu
12 2 4
Direct
0.0538 0.2439 0.8099 Ho
0.1796 0.2747 0.4543 Ho
0.1796 0.7253 0.9050 Ho
0.3242 0.0240 0.6998 Ho
0.3242 0.6244 0.3002 Ho
0.4340 0.2439 0.1901 Ho
0.5660 0.7561 0.8099 Ho
0.6758 0.3756 0.6998 Ho
0.6758 0.9760 0.3002 Ho
0.8204 0.2747 0.0950 Ho
0.8204 0.7253 0.5457 Ho
0.9462 0.7561 0.1901 Ho
0.0000 0.0000 0.0000 Zn
0.5000 0.5000 0.0000 Zn
0.1208 0.6208 0.5000 Cu
0.3493 0.0000 0.3493 Cu
0.6507 0.0000 0.6507 Cu
0.8792 0.3792 0.5000 Cu
```

***

The following is a DFT calculation (GGA-PBE) of a geometry-optimized Ho2ZnCu2 structure.

Results
- Formation energy: -0.276 eV per atom

Geometry as POSCAR:
```
Ho2ZnCu2
1.0
5.1935 -2.1587 0.0000
5.1935 2.1587 0.0000
-4.8129 0.0000 8.8662
Ho Zn Cu
4 2 4
Direct
0.0142 0.0142 0.3355 Ho
0.1952 0.1952 0.1118 Ho
0.8048 0.8048 0.8882 Ho
0.9858 0.9858 0.6645 Ho
0.2737 0.2737 0.6489 Zn
0.7263 0.7263 0.3511 Zn
0.3639 0.3639 0.4357 Cu
0.4804 0.4804 0.1124 Cu
0.5196 0.5196 0.8876 Cu
0.6361 0.6361 0.5643 Cu
```

***

The following is a DFT calculation (GGA-PBE) of a geometry-optimized Ho2Zn3Cu structure.

Results
- Formation energy: -0.344 eV per atom

Geometry as POSCAR:
```
Ho2Zn3Cu
1.0
3.4927 0.0000 0.0000
0.0000 4.3842 0.0000
0.0000 0.0000 7.6774
Ho Zn Cu
2 3 1
Direct
0.0000 0.0000 0.0000 Ho
0.0000 0.5000 0.4837 Ho
0.5000 0.0000 0.6561 Zn
0.5000 0.5000 0.1574 Zn
0.5000 0.5000 0.8235 Zn
0.5000 0.0000 0.3260 Cu
```

***

The following is a DFT calculation (GGA-PBE) of a geometry-optimized HoZn6Cu6 structure.

Results
- Formation energy: -0.176 eV per atom

Geometry as POSCAR:
```
HoZn6Cu6
1.0
-2.4667 4.3276 4.3927
2.4667 -4.3276 4.3927
2.4667 4.3276 -4.3927
Ho Zn Cu
1 6 6
Direct
0.0000 0.0000 0.0000 Ho
0.2040 0.7040 0.5000 Zn
0.3472 0.0000 0.3472 Zn
0.3505 0.3505 0.0000 Zn
0.6495 0.6495 0.0000 Zn
0.6528 0.0000 0.6528 Zn
0.7960 0.2960 0.5000 Zn
0.0000 0.0000 0.5000 Cu
0.0000 0.5000 0.0000 Cu
0.2232 0.5000 0.7232 Cu
0.5000 0.0000 0.0000 Cu
0.5000 0.5000 0.5000 Cu
0.7768 0.5000 0.2768 Cu
```

***

The following is a DFT calculation (GGA-PBE) of a geometry-optimized Ho6Zn2Cu structure.

Results
- Formation energy: 0.027 eV per atom

Geometry as POSCAR:
```
Ho6Zn2Cu
1.0
7.7172 -3.4607 0.0000
7.7172 3.4607 0.0000
-1.5351 0.0000 4.6337
Ho Zn Cu
6 2 1
Direct
0.0830 0.5890 0.3362 Ho
0.2445 0.7555 0.0000 Ho
0.4110 0.9170 0.6638 Ho
0.5890 0.0830 0.3362 Ho
0.7555 0.2445 0.0000 Ho
0.9170 0.4110 0.6638 Ho
0.3333 0.3333 0.8335 Zn
0.6667 0.6667 0.1665 Zn
0.0000 0.0000 0.5000 Cu
```

***

no.,spin magnetization (Bohr magnetons per cell),E (eV per atom)
1,0.00,-4.01
2,0.00,-4.02
3,0.00,-4.10
4,0.00,-4.28
5,0.00,-4.00
6,0.00,-3.19
7,0.00,-3.01
8,0.00,-3.76